1.
PmHo3Er5 after structural relaxation. Source: the Alexandria database, functional PBE.

Summary:
The polymorph energy (0 for the lowest one) comes out at 0.000 eV per formula unit. The formation energy comes out at 54 kJ/mol of formula units.

The structure in extended XYZ format:
```
18
Lattice="4.810 8.160 -1.798 -4.810 8.160 -1.798 0.000 1.502 6.801" Properties=species:S:1:pos:R:3 pbc="T T T"
Pm 1.843 9.286 3.302
Pm -1.843 8.536 -0.098
Ho 0.000 0.000 0.000
Ho 0.000 6.142 2.213
Ho 0.000 0.751 3.400
Ho 0.000 11.680 0.991
Ho 0.000 5.391 -1.188
Ho 0.000 12.431 4.392
Er -1.385 9.286 3.302
Er 3.105 12.175 2.665
Er -1.494 14.153 -1.336
Er -3.105 5.647 0.539
Er -1.494 2.918 1.139
Er 1.385 8.536 -0.098
Er -3.105 11.424 -0.735
Er 3.105 6.398 3.939
Er 1.494 14.904 2.065
Er 1.494 3.669 4.540
```

***

2.
Pm4Ho5Er4 after structural relaxation. Source: the Alexandria database, functional PBE.

Summary:
The formation energy comes out at 25 kJ/mol of formula units.

The structure in extended XYZ format:
```
13
Lattice="-0.057 4.099 2.896 3.588 -2.720 8.270 8.295 4.213 -1.451" Properties=species:S:1:pos:R:3 pbc="T T T"
Pm 7.370 5.457 5.469
Pm 4.878 3.644 3.637
Pm 4.456 0.135 4.245
Pm 6.948 1.948 6.077
Ho 9.403 3.766 7.902
Ho 2.423 1.826 1.812
Ho 0.000 0.000 0.000
Ho 3.985 0.748 7.718
Ho 7.840 4.844 1.996
Er 1.962 2.437 5.287
Er 9.863 3.155 4.427
Er 6.443 2.571 9.535
Er 5.383 3.021 0.179
```

***

3.
Pm2Ho7Er3 after structural relaxation. Source: the Alexandria database, functional PBE.

Summary:
The polymorph energy (0 for the lowest one) comes out at 0.128 eV per formula unit. The formation energy comes out at 103 kJ/mol of formula units.

The structure in extended XYZ format:
```
12
Lattice="-0.470 -0.694 3.467 2.215 -5.244 -0.750 16.502 7.717 3.783" Properties=species:S:1:pos:R:3 pbc="T T T"
Pm 6.179 -1.777 2.317
Pm 12.068 3.556 4.183
Ho 9.036 -0.670 2.926
Ho 9.211 2.448 3.574
Ho 3.846 -2.474 0.026
Ho 0.000 0.000 0.000
Ho 14.871 4.947 3.007
Ho 15.181 1.731 4.240
Ho 3.066 0.048 2.260
Er 0.872 -2.969 1.359
Er 6.589 1.698 1.233
Er 12.127 0.775 1.799
```

***

4.
Pm2HoEr9 after structural relaxation. Source: the Alexandria database, functional PBE.

Summary:
The polymorph energy (0 for the lowest one) comes out at 0.000 eV per formula unit. The formation energy comes out at 28 kJ/mol of formula units.

The structure in extended XYZ format:
```
12
Lattice="-0.532 4.719 -1.547 -2.422 1.112 4.223 12.999 3.599 6.508" Properties=species:S:1:pos:R:3 pbc="T T T"
Pm 4.326 1.198 2.166
Pm 8.673 2.402 4.342
Ho 0.000 0.000 0.000
Er -1.477 2.915 1.338
Er 2.841 4.111 3.500
Er 7.204 5.319 5.684
Er 1.878 2.953 0.300
Er 6.234 4.159 2.481
Er 10.589 5.365 4.661
Er 0.932 1.149 3.185
Er 5.289 2.356 5.366
Er 9.645 3.562 7.547
```